# PrTlZnAg | Alexandria via LeMat-Bulk | PBE | relaxed
# N(E_F): 1.98 states/eV per cell
# energy of formation from the pure elements: -0.242 eV per atom
# crystal system: cubic
data_PrTlZnAg
_symmetry_space_group_name_H-M 'P 1'
_symmetry_Int_Tables_number 1
_cell_length_a 5.0849
_cell_length_b 5.0849
_cell_length_c 5.0849
_cell_angle_alpha 60.00
_cell_angle_beta 60.00
_cell_angle_gamma 60.00
loop_
_symmetry_equiv_pos_as_xyz
'x,y,z'
loop_
_atom_site_label
_atom_site_fract_x
_atom_site_fract_y
_atom_site_fract_z
_atom_site_occupancy
Pr1 0.5000 0.5000 0.5000 1
Tl1 0.0000 0.0000 0.0000 1
Zn1 0.7500 0.7500 0.7500 1
Ag1 0.2500 0.2500 0.2500 1